# PBE PrNpSe2, optimized geometry
# Final energy in eV/atom: -7.536
# Raw formation energy in eV per atom: -1.36
# Space group: R3m
# Volume in Å³/f.u.: 105
data_PrNpSe2
_cell_length_a 7.881
_cell_length_b 7.881
_cell_length_c 7.881
_cell_angle_alpha 29.49
_cell_angle_beta 29.49
_cell_angle_gamma 29.49
_symmetry_space_group_name_H-M 'P 1'
_symmetry_Int_Tables_number 1
loop_
_symmetry_equiv_pos_as_xyz
'x,y,z'
loop_
_atom_site_label
_atom_site_type_symbol
_atom_site_fract_x
_atom_site_fract_y
_atom_site_fract_z
Pr1 Pr 0.000 0.000 0.000
Np1 Np 0.827 0.827 0.827
Se1 Se 0.416 0.416 0.416
Se2 Se 0.579 0.579 0.579

# PBE CaPd, optimized geometry
# Final energy in eV/atom: -3.652
# ΔH_f (0 K) in kcal/mol of atoms: -1.3
# Space group: F-43m
# Volume in Å³/f.u.: 68
data_CaPd
_cell_length_a 4.582
_cell_length_b 4.582
_cell_length_c 4.582
_cell_angle_alpha 60.00
_cell_angle_beta 60.00
_cell_angle_gamma 60.00
_symmetry_space_group_name_H-M 'P 1'
_symmetry_Int_Tables_number 1
loop_
_symmetry_equiv_pos_as_xyz
'x,y,z'
loop_
_atom_site_label
_atom_site_type_symbol
_atom_site_fract_x
_atom_site_fract_y
_atom_site_fract_z
Ca1 Ca 0.000 0.000 0.000
Pd1 Pd 0.750 0.750 0.750

# PBE SmTmPuAl, optimized geometry
# Final energy in eV/atom: -6.791
# ΔH_f (0 K) in kcal/mol of atoms: 0.6
# Space group: F-43m
# Volume in Å³/f.u.: 106
data_SmTmPuAl
_cell_length_a 5.318
_cell_length_b 5.318
_cell_length_c 5.318
_cell_angle_alpha 60.00
_cell_angle_beta 60.00
_cell_angle_gamma 60.00
_symmetry_space_group_name_H-M 'P 1'
_symmetry_Int_Tables_number 1
loop_
_symmetry_equiv_pos_as_xyz
'x,y,z'
loop_
_atom_site_label
_atom_site_type_symbol
_atom_site_fract_x
_atom_site_fract_y
_atom_site_fract_z
Sm1 Sm 0.000 0.000 0.000
Tm1 Tm 0.750 0.750 0.750
Pu1 Pu 0.500 0.500 0.500
Al1 Al 0.250 0.250 0.250

# PBE LaAgAs2, optimized geometry
# Final energy in eV/atom: -4.293
# ΔH_f (0 K) in kcal/mol of atoms: -0.5
# Space group: R3m
# Volume in Å³/f.u.: 99
data_LaAgAs2
_cell_length_a 8.446
_cell_length_b 8.446
_cell_length_c 8.446
_cell_angle_alpha 25.57
_cell_angle_beta 25.57
_cell_angle_gamma 25.57
_symmetry_space_group_name_H-M 'P 1'
_symmetry_Int_Tables_number 1
loop_
_symmetry_equiv_pos_as_xyz
'x,y,z'
loop_
_atom_site_label
_atom_site_type_symbol
_atom_site_fract_x
_atom_site_fract_y
_atom_site_fract_z
La1 La 0.000 0.000 0.000
Ag1 Ag 0.764 0.764 0.764
As1 As 0.236 0.236 0.236
As2 As 0.507 0.507 0.507

# PBE SnMoHBr2, optimized geometry
# Final energy in eV/atom: -3.777
# Space group: P4/mmm
# Volume in Å³/f.u.: 109
data_SnMoHBr2
_cell_length_a 5.495
_cell_length_b 5.495
_cell_length_c 3.611
_cell_angle_alpha 90.00
_cell_angle_beta 90.00
_cell_angle_gamma 90.00
_symmetry_space_group_name_H-M 'P 1'
_symmetry_Int_Tables_number 1
loop_
_symmetry_equiv_pos_as_xyz
'x,y,z'
loop_
_atom_site_label
_atom_site_type_symbol
_atom_site_fract_x
_atom_site_fract_y
_atom_site_fract_z
Sn1 Sn 0.000 0.000 0.000
Mo1 Mo 0.500 0.500 0.000
H1 H 0.500 0.500 0.500
Br1 Br 0.000 0.500 0.500
Br2 Br 0.500 0.000 0.500

# PBE LiZr2NiRu, optimized geometry
# Final energy in eV/atom: -6.107
# ΔH_f (0 K) in kcal/mol of atoms: 16.3
# Space group: P4/mmm
# Volume in Å³/f.u.: 86
data_LiZr2NiRu
_cell_length_a 4.671
_cell_length_b 4.671
_cell_length_c 3.937
_cell_angle_alpha 90.00
_cell_angle_beta 90.00
_cell_angle_gamma 90.00
_symmetry_space_group_name_H-M 'P 1'
_symmetry_Int_Tables_number 1
loop_
_symmetry_equiv_pos_as_xyz
'x,y,z'
loop_
_atom_site_label
_atom_site_type_symbol
_atom_site_fract_x
_atom_site_fract_y
_atom_site_fract_z
Li1 Li 0.000 0.000 0.000
Zr1 Zr 0.000 0.500 0.000
Zr2 Zr 0.500 0.000 0.000
Ni1 Ni 0.500 0.500 0.500
Ru1 Ru 0.000 0.000 0.500